No. 1
Below is crystalline PuPI at its relaxed geometry, with properties calculated at the PBE level.

SG	C2/m (12)
E	-44.27	eV for the cell shown
size of the total moment	12.22	Bohr magnetons per cell
excess energy over the best structure of this formula in the dataset	581	meV/atom

Cell: 6.2520 4.4208 10.5362 Å, 102.42 90.00 135.00°
Last column: magnetic moment on the atom in μB.
Fractional positions:
Pu 0.3166 0.6331 0.1350  5.60
Pu 0.6834 0.3669 0.8650  5.60
I 0.8394 0.6787 0.1797  -0.06
I 0.1606 0.3213 0.8203  -0.06
P 0.4516 0.9032 0.4021  0.02
P 0.5484 0.0968 0.5979  0.02

=====

No. 2
Below is crystalline Mg2SiIr2 at its relaxed geometry, with properties calculated at the PBE level.

SG	Immm (71)
E	-29.25	eV for the cell shown
size of the total moment	0.00	Bohr magnetons per cell
excess energy over the best structure of this formula in the dataset	0	meV/atom

Cell: 3.6992 5.5348 5.3081 Å, 121.42 110.39 90.00°
Fractional positions:
Mg 0.2045 0.7045 0.4090
Mg 0.7955 0.2955 0.5910
Ir 0.5000 0.2622 0.0000
Ir 0.5000 0.7378 0.0000
Si 0.0000 0.0000 0.0000

=====

No. 3
Below is crystalline Pm4SnC at its relaxed geometry, with properties calculated at the PBE level.

SG	P-1 (2)
E	-67.55	eV for the cell shown
size of the total moment	0.00	Bohr magnetons per cell
formation enthalpy at 0 K	-0.26	eV/atom

Cell: 6.1404 7.3122 8.2450 Å, 106.55 111.88 89.92°
Fractional positions:
C 0.5000 0.0000 0.5000
C 0.0000 0.5000 0.5000
Pm 0.7483 0.3359 0.6270
Pm 0.5084 0.9429 0.1948
Pm 0.8791 0.8361 0.6274
Pm 0.1209 0.1639 0.3726
Pm 0.2517 0.6641 0.3730
Pm 0.4916 0.0571 0.8052
Pm 0.3134 0.5570 0.8053
Pm 0.6866 0.4430 0.1947
Sn 0.1036 0.2502 0.0000
Sn 0.8964 0.7498 0.0000

=====

No. 4
Below is crystalline Pu2GaPd6 at its relaxed geometry, with properties calculated at the PBE level.

SG	C2/m (12)
E	-67.80	eV for the cell shown
size of the total moment	10.60	Bohr magnetons per cell
excess energy over the best structure of this formula in the dataset	8	meV/atom
formation enthalpy at 0 K	-0.55	eV/atom

Cell: 5.7042 5.6532 6.1695 Å, 77.98 90.00 120.30°
Last column: magnetic moment on the atom in μB.
Fractional positions:
Pd 0.1289 0.7401 0.3183  -0.03
Pd 0.6113 0.7401 0.3183  -0.03
Pd 0.1264 0.2528 0.3036  -0.03
Pd 0.8736 0.7472 0.6964  -0.03
Pd 0.8711 0.2599 0.6817  -0.03
Pd 0.3887 0.2599 0.6817  -0.03
Pu 0.3547 0.7093 0.8478  5.14
Pu 0.6453 0.2907 0.1522  5.14
Ga 0.0000 0.0000 0.0000  0.01

=====

What is the size of the total moment in the fourth record? 10.60 Bohr magnetons per cell